Compound: LuCoSbMo
Source: the Open Quantum Materials Database
Functional: PBE
Structure: relaxed

The structure in POSCAR format:
```
LuCoSbMo
1.0
6.528 0.000 0.000
0.000 6.528 0.000
0.000 0.000 6.528
Lu Co Sb Mo
4 4 4 4
Direct
0.000 0.000 0.000
0.000 0.500 0.500
0.500 0.000 0.500
0.500 0.500 0.000
0.250 0.250 0.750
0.250 0.750 0.250
0.750 0.250 0.250
0.750 0.750 0.750
0.000 0.000 0.500
0.000 0.500 0.000
0.500 0.000 0.000
0.500 0.500 0.500
0.250 0.250 0.250
0.250 0.750 0.750
0.750 0.250 0.750
0.750 0.750 0.250
```

The calculation puts the spin magnetization at 0.227 μB/atom. As for the energy above the most stable polymorph in this dataset: 0 kJ/mol of formula units. For the volume, the calculation gives 17.4 Å³ per atom. Its space group is F-43m (216).